# Ba3LaTc (GGA-PBE, optimized geometry)
# Density: 4.6 Mg/m³
# ΔH_f (0 K): 1.751 eV/atom
# Polymorph energy (0 for the lowest one): 104.6 kJ per mole of atoms
# Energy: -12.30 eV/f.u.
data_Ba3LaTc
_cell_length_a 6.153
_cell_length_b 6.153
_cell_length_c 6.153
_cell_angle_alpha 90.00
_cell_angle_beta 90.00
_cell_angle_gamma 90.00
_symmetry_space_group_name_H-M 'P m -3 m'
_symmetry_Int_Tables_number 221
_symmetry_space_group_name_Hall '-P 4 2 3'
loop_
_atom_site_label
_atom_site_fract_x
_atom_site_fract_y
_atom_site_fract_z
_atom_site_occupancy
Ba1 0.000 0.000 0.500 1
La1 0.000 0.000 0.000 1
Tc1 0.500 0.500 0.500 1